--- P ---
VASP calculation (PBE-GGA) on a geometry-optimized KLiCoRe structure.

Properties
Symmetry   F-43m, No. 216

Unit cell a=4.608 b=4.608 c=4.608 alpha=60.00 beta=60.00 gamma=60.00
Sites, in units of the cell vectors:
Re (0.500, 0.500, 0.500)
Li (0.750, 0.750, 0.750)
Co (0.250, 0.250, 0.250)
K (0.000, 0.000, 0.000)

--- Q ---
VASP calculation (PBE-GGA) on a geometry-optimized KLiCoRe structure.

Properties
Symmetry   F-43m, No. 216

Unit cell a=4.681 b=4.681 c=4.681 alpha=60.00 beta=60.00 gamma=60.00
Sites, in units of the cell vectors:
K (0.250, 0.250, 0.250)
Li (0.750, 0.750, 0.750)
Re (0.500, 0.500, 0.500)
Co (0.000, 0.000, 0.000)

Stability summary - winner: P; margin: 473 meV per atom.

--- P ---
VASP calculation (PBE-GGA) on a geometry-optimized KMgCoMo structure.

Properties
Symmetry   F-43m, No. 216

Unit cell a=4.894 b=4.894 c=4.894 alpha=60.00 beta=60.00 gamma=60.00
Sites, in units of the cell vectors:
Co (0.500, 0.500, 0.500)
K (0.250, 0.250, 0.250)
Mg (0.750, 0.750, 0.750)
Mo (0.000, 0.000, 0.000)

--- Q ---
VASP calculation (PBE-GGA) on a geometry-optimized KMgCoMo structure.

Properties
Symmetry   F-43m, No. 216

Unit cell a=4.617 b=4.617 c=4.617 alpha=60.00 beta=60.00 gamma=60.00
Sites, in units of the cell vectors:
Mo (0.250, 0.250, 0.250)
Mg (0.750, 0.750, 0.750)
K (0.500, 0.500, 0.500)
Co (0.000, 0.000, 0.000)

Stability summary - winner: Q; margin: 274 meV per atom.

--- P ---
VASP calculation (PBE-GGA) on a geometry-optimized KMgCoTe structure.

Properties
Symmetry   F-43m, No. 216

Unit cell a=5.323 b=5.323 c=5.323 alpha=60.00 beta=60.00 gamma=60.00
Sites, in units of the cell vectors:
K (0.250, 0.250, 0.250)
Te (0.500, 0.500, 0.500)
Mg (0.750, 0.750, 0.750)
Co (0.000, 0.000, 0.000)

--- Q ---
VASP calculation (PBE-GGA) on a geometry-optimized KMgCoTe structure.

Properties
Symmetry   F-43m, No. 216

Unit cell a=4.947 b=4.947 c=4.947 alpha=60.00 beta=60.00 gamma=60.00
Sites, in units of the cell vectors:
K (0.000, 0.000, 0.000)
Co (0.500, 0.500, 0.500)
Te (0.250, 0.250, 0.250)
Mg (0.750, 0.750, 0.750)

Stability summary - winner: P; margin: 25 meV per atom.

--- P ---
VASP calculation (PBE-GGA) on a geometry-optimized KMgCoW structure.

Properties
Symmetry   F-43m, No. 216

Unit cell a=4.729 b=4.729 c=4.729 alpha=60.00 beta=60.00 gamma=60.00
Sites, in units of the cell vectors:
Co (0.250, 0.250, 0.250)
W (0.000, 0.000, 0.000)
K (0.500, 0.500, 0.500)
Mg (0.750, 0.750, 0.750)

--- Q ---
VASP calculation (PBE-GGA) on a geometry-optimized KMgCoW structure.

Properties
Symmetry   F-43m, No. 216

Unit cell a=4.856 b=4.856 c=4.856 alpha=60.00 beta=60.00 gamma=60.00
Sites, in units of the cell vectors:
Co (0.500, 0.500, 0.500)
W (0.000, 0.000, 0.000)
K (0.250, 0.250, 0.250)
Mg (0.750, 0.750, 0.750)

--- R ---
VASP calculation (PBE-GGA) on a geometry-optimized KMgCoW structure.

Properties
Symmetry   F-43m, No. 216

Unit cell a=4.599 b=4.599 c=4.599 alpha=60.00 beta=60.00 gamma=60.00
Sites, in units of the cell vectors:
K (0.500, 0.500, 0.500)
Co (0.000, 0.000, 0.000)
W (0.250, 0.250, 0.250)
Mg (0.750, 0.750, 0.750)

Stability summary - winner: R; margin: 117 meV per atom.